# Ba2Pa3MoO12, relaxed, DFT PBE with a Hubbard U
# * final energy: -8.504 eV per atom
data_Ba2Pa3MoO12
_space_group_name_H-M_alt 'R -3 m'
_space_group_IT_number 166
_space_group_name_Hall '-R 3 2"'
_cell_length_a 8.0326
_cell_length_b 8.0326
_cell_length_c 18.7736
_cell_angle_alpha 90.00
_cell_angle_beta 90.00
_cell_angle_gamma 120.00
loop_
_atom_site_label
_atom_site_type_symbol
_atom_site_fract_x
_atom_site_fract_y
_atom_site_fract_z
Ba1 Ba 0.0000 0.0000 0.1787
Pa1 Pa 0.0000 0.5000 0.0000
Mo1 Mo 0.0000 0.0000 0.5000
O1 O 0.0909 0.5455 0.3725
O2 O 0.0911 0.5455 0.1094